# 1
A plane-wave DFT calculation with PBE was carried out for Fe5Te after structural relaxation.

Cell lengths 3.1945, 12.2021, 4.0729 Å; angles 90.00, 90.00, 90.00 degrees
Space group Cmmm (No. 65)
One atom of each set of equivalent atoms:
Fe  0.0000  0.0000  0.0000
Fe  0.0000  0.1764  0.5000
Fe  0.0000  0.3302  0.0000
Te  0.0000  0.5000  0.5000

Summary:
Calculated volume   13.230 Å³ per atom
Energy above the most stable polymorph in this dataset   0.03 eV per formula unit
DFT total energy   -88.678 eV/cell
Magnetic moment   23.7 μB/cell
ΔE_f (raw)   0.19 eV per atom

# 2
A plane-wave DFT calculation with PBE was carried out for FeTe3 after structural relaxation.

Cell lengths 4.6862, 4.6862, 4.6862 Å; angles 90.00, 90.00, 90.00 degrees
Space group Pm-3m (No. 221)
One atom of each set of equivalent atoms:
Fe  0.0000  0.0000  0.0000
Te  0.0000  0.5000  0.5000

Summary:
Calculated volume   25.728 Å³ per atom
DFT total energy   -14.808 eV/cell
Magnetic moment   3.4 μB/cell
ΔE_f (raw)   0.77 eV per atom

# 3
A plane-wave DFT calculation with PBE was carried out for FeTe2 after structural relaxation.

Cell lengths 6.5197, 6.5197, 6.2059 Å; angles 90.00, 90.00, 90.00 degrees
Space group I4/mcm (No. 140)
One atom of each set of equivalent atoms:
Fe  0.0000  0.0000  0.2500
Te  0.1653  0.3347  0.0000

Summary:
Calculated volume   21.982 Å³ per atom
DFT total energy   -55.040 eV/cell
Magnetic moment   9.8 μB/cell
ΔE_f (raw)   0.33 eV per atom

# 4
A plane-wave DFT calculation with PBE was carried out for FeTe3 after structural relaxation.

Cell lengths 7.0993, 3.3051, 8.5916 Å; angles 90.00, 90.97, 90.00 degrees
Space group C2/m (No. 12)
One atom of each set of equivalent atoms:
Fe  0.0000  0.0000  0.0000
Te  0.0000  0.5000  0.5000
Te  0.1885  0.5000  0.8334

Summary:
Calculated volume   25.196 Å³ per atom
DFT total energy   -35.198 eV/cell
Magnetic moment   2.2 μB/cell
ΔE_f (raw)   0.07 eV per atom

# 5
A plane-wave DFT calculation with PBE was carried out for FeTe2 after structural relaxation.

Cell lengths 6.2700, 6.2700, 6.2700 Å; angles 90.00, 90.00, 90.00 degrees
Space group Pa-3 (No. 205)
One atom of each set of equivalent atoms:
Fe  0.0000  0.0000  0.0000
Te  0.1320  0.6320  0.8680

Summary:
Calculated volume   20.541 Å³ per atom
DFT total energy   -60.530 eV/cell
Magnetic moment   0.0 μB/cell
ΔE_f (raw)   -0.13 eV per atom

# 6
A plane-wave DFT calculation with PBE was carried out for Fe3Te after structural relaxation.

Cell lengths 3.0815, 3.0815, 22.5321 Å; angles 90.00, 90.00, 120.00 degrees
Space group R-3m (No. 166, hexagonal axes)
One atom of each set of equivalent atoms:
Fe  0.0000  0.0000  0.0000
Fe  0.0000  0.0000  0.2574
Te  0.0000  0.0000  0.5000

Summary:
Calculated volume   15.441 Å³ per atom
DFT total energy   -79.440 eV/cell
Magnetic moment   21.9 μB/cell
ΔE_f (raw)   0.51 eV per atom

# 7
A plane-wave DFT calculation with PBE was carried out for Fe3Te after structural relaxation.

Cell lengths 8.2223, 8.2223, 2.9896 Å; angles 90.00, 90.00, 120.00 degrees
Space group R-3m (No. 166, hexagonal axes)
One atom of each set of equivalent atoms:
Fe  0.0000  0.5000  0.0000
Te  0.0000  0.0000  0.0000

Summary:
Calculated volume   14.586 Å³ per atom
DFT total energy   -80.140 eV/cell
Magnetic moment   20.9 μB/cell
ΔE_f (raw)   0.45 eV per atom

# 8
A plane-wave DFT calculation with PBE was carried out for FeTe2 after structural relaxation.

Cell lengths 3.2195, 3.2195, 13.6642 Å; angles 90.00, 90.00, 90.00 degrees
Space group I4/mmm (No. 139)
One atom of each set of equivalent atoms:
Fe  0.0000  0.0000  0.0000
Te  0.0000  0.0000  0.3789

Summary:
Calculated volume   23.606 Å³ per atom
DFT total energy   -28.201 eV/cell
Magnetic moment   4.1 μB/cell
ΔE_f (raw)   0.22 eV per atom

# 9
A plane-wave DFT calculation with PBE was carried out for Fe3Te after structural relaxation.

Cell lengths 4.8039, 4.8039, 4.8039 Å; angles 90.00, 90.00, 90.00 degrees
Space group Pm-3n (No. 223)
One atom of each set of equivalent atoms:
Fe  0.0000  0.2500  0.5000
Te  0.0000  0.0000  0.0000

Summary:
Calculated volume   13.858 Å³ per atom
DFT total energy   -55.260 eV/cell
Magnetic moment   13.9 μB/cell
ΔE_f (raw)   0.22 eV per atom

# 10
A plane-wave DFT calculation with PBE was carried out for FeTe2 after structural relaxation.

Cell lengths 3.8237, 15.1432, 5.0143 Å; angles 90.00, 90.00, 90.00 degrees
Space group Cmcm (No. 63)
One atom of each set of equivalent atoms:
Fe  0.0000  0.1670  0.2500
Te  0.0000  0.2121  0.7500
Te  0.0000  0.4370  0.7500

Summary:
Calculated volume   24.196 Å³ per atom
DFT total energy   -58.901 eV/cell
Magnetic moment   0.0 μB/cell
ΔE_f (raw)   0.01 eV per atom

# 11
A plane-wave DFT calculation with PBE was carried out for Fe3Te after structural relaxation.

Cell lengths 3.8763, 3.8763, 3.8763 Å; angles 90.00, 90.00, 90.00 degrees
Space group Pm-3m (No. 221)
One atom of each set of equivalent atoms:
Fe  0.0000  0.0000  0.5000
Te  0.5000  0.5000  0.5000

Summary:
Calculated volume   14.561 Å³ per atom
DFT total energy   -27.474 eV/cell
Magnetic moment   8.2 μB/cell
ΔE_f (raw)   0.26 eV per atom

# 12
A plane-wave DFT calculation with PBE was carried out for FeTe2 after structural relaxation.

Cell lengths 3.7419, 3.7419, 5.8849 Å; angles 90.00, 90.00, 120.00 degrees
Space group P-3m1 (No. 164)
One atom of each set of equivalent atoms:
Fe  0.0000  0.0000  0.0000
Te  0.3333  0.6667  0.2423

Summary:
Calculated volume   23.787 Å³ per atom
DFT total energy   -14.910 eV/cell
Magnetic moment   1.3 μB/cell
ΔE_f (raw)   -0.05 eV per atom